(1)
LiSmPd4 | PBE-GGA | relaxed

Output
The calculated volume is 17.2 Å³ per atom. For the energy of formation from the pure elements, the calculation gives -0.599 eV per atom. The value obtained for the electronic total energy is -62.00 eV/cell. The calculation puts the offset from the most stable computed form at 0.012 eV per atom. Its density of states at the Fermi level is 4.62 states/eV/cell. Its total moment is 0.000 μB per cell. As for the space-group type: P2_1/m (11).

The structure in POSCAR format:
```
LiSmPd4
1.0
4.024 0.000 0.000
0.000 8.035 0.000
-2.024 0.000 6.384
Li Sm Pd
2 2 8
direct
0.138 0.250 0.276
0.862 0.750 0.724
0.163 0.750 0.324
0.837 0.250 0.676
0.000 0.000 0.000
0.000 0.500 0.000
0.336 0.515 0.673
0.336 0.985 0.673
0.499 0.750 0.996
0.501 0.250 0.004
0.664 0.015 0.327
0.664 0.485 0.327
```



(2)
Li3SmPd3 | PBE-GGA | relaxed

Output
The calculated volume is 18.9 Å³ per atom. For the energy of formation from the pure elements, the calculation gives -0.010 eV per atom. The value obtained for the electronic total energy is -52.23 eV/cell. Its density of states at the Fermi level is 9.57 states/eV/cell. Its total moment is 0.000 μB per cell. As for the space-group type: Pm-3n (223).

The structure in POSCAR format:
```
Li3SmPd3
1.0
6.420 0.000 0.000
0.000 6.420 0.000
0.000 0.000 6.420
Li Sm Pd
6 2 6
direct
0.000 0.250 0.500
0.000 0.750 0.500
0.250 0.500 0.000
0.500 0.000 0.250
0.500 0.000 0.750
0.750 0.500 0.000
0.000 0.000 0.000
0.500 0.500 0.500
0.000 0.500 0.250
0.000 0.500 0.750
0.250 0.000 0.500
0.500 0.250 0.000
0.500 0.750 0.000
0.750 0.000 0.500
```



(3)
Li3Sm2Pd3 | PBE-GGA | relaxed

Output
The calculated volume is 22.4 Å³ per atom. For the energy of formation from the pure elements, the calculation gives -0.441 eV per atom. The value obtained for the electronic total energy is -68.57 eV/cell. Its density of states at the Fermi level is 10.18 states/eV/cell. Its total moment is 0.000 μB per cell. As for the space-group type: P6_3/mcm (193).

The structure in POSCAR format:
```
Li3Sm2Pd3
1.0
7.567 0.000 0.000
-3.783 6.553 0.000
0.000 0.000 7.230
Li Sm Pd
6 4 6
direct
0.000 0.233 0.250
0.000 0.767 0.750
0.233 0.000 0.250
0.233 0.233 0.750
0.767 0.000 0.750
0.767 0.767 0.250
0.333 0.667 0.000
0.333 0.667 0.500
0.667 0.333 0.000
0.667 0.333 0.500
0.000 0.407 0.750
0.000 0.593 0.250
0.407 0.000 0.750
0.407 0.407 0.250
0.593 0.000 0.250
0.593 0.593 0.750
```



(4)
Li4SmPd | PBE-GGA | relaxed

Output
The calculated volume is 17.7 Å³ per atom. For the energy of formation from the pure elements, the calculation gives -0.098 eV per atom. The value obtained for the electronic total energy is -18.15 eV/cell. Its density of states at the Fermi level is 4.01 states/eV/cell. Its total moment is 0.000 μB per cell. As for the space-group type: F-43m (216).

The structure in POSCAR format:
```
Li4SmPd
1.0
0.000 3.760 3.760
3.760 0.000 3.760
3.760 3.760 0.000
Li Sm Pd
4 1 1
direct
0.378 0.378 0.378
0.378 0.378 0.866
0.378 0.866 0.378
0.866 0.378 0.378
0.000 0.000 0.000
0.750 0.750 0.750
```



(5)
LiSmPd3 | PBE-GGA | relaxed

Output
The calculated volume is 17.4 Å³ per atom. For the energy of formation from the pure elements, the calculation gives -0.489 eV per atom. The value obtained for the electronic total energy is -24.65 eV/cell. The calculation puts the offset from the most stable computed form at 0.101 eV per atom. Its density of states at the Fermi level is 1.96 states/eV/cell. Its total moment is 0.000 μB per cell. As for the space-group type: Pm-3m (221).

The structure in POSCAR format:
```
LiSmPd3
1.0
4.428 0.000 0.000
0.000 4.428 0.000
0.000 0.000 4.428
Li Sm Pd
1 1 3
direct
0.000 0.000 0.000
0.500 0.500 0.500
0.000 0.000 0.500
0.000 0.500 0.000
0.500 0.000 0.000
```



(6)
LiSm2Pd9 | PBE-GGA | relaxed

Output
The calculated volume is 17.1 Å³ per atom. For the energy of formation from the pure elements, the calculation gives -0.606 eV per atom. The value obtained for the electronic total energy is -65.37 eV/cell. Its density of states at the Fermi level is 10.53 states/eV/cell. Its total moment is 0.000 μB per cell. As for the space-group type: P4/mmm (123).

The structure in POSCAR format:
```
LiSm2Pd9
1.0
4.164 0.000 0.000
0.000 4.164 0.000
0.000 0.000 11.820
Li Sm Pd
1 2 9
direct
0.000 0.000 0.000
0.000 0.000 0.323
0.000 0.000 0.677
0.000 0.500 0.150
0.000 0.500 0.500
0.000 0.500 0.850
0.500 0.000 0.150
0.500 0.000 0.500
0.500 0.000 0.850
0.500 0.500 0.000
0.500 0.500 0.324
0.500 0.500 0.676
```



(7)
Li3Sm2Pd4 | PBE-GGA | relaxed

Output
The calculated volume is 18.0 Å³ per atom. For the energy of formation from the pure elements, the calculation gives -0.605 eV per atom. The value obtained for the electronic total energy is -82.80 eV/cell. Its density of states at the Fermi level is 5.75 states/eV/cell. Its total moment is 0.000 μB per cell. As for the space-group type: Cmce (64).

The structure in POSCAR format:
```
Li3Sm2Pd4
1.0
2.806 -7.521 0.000
2.806 7.521 0.000
0.000 0.000 7.672
Li Sm Pd
6 4 8
direct
0.000 0.000 0.000
0.032 0.468 0.250
0.468 0.032 0.750
0.500 0.500 0.500
0.532 0.968 0.250
0.968 0.532 0.750
0.113 0.887 0.414
0.387 0.613 0.914
0.613 0.387 0.086
0.887 0.113 0.586
0.176 0.824 0.028
0.200 0.300 0.250
0.300 0.200 0.750
0.324 0.676 0.528
0.676 0.324 0.472
0.700 0.800 0.250
0.800 0.700 0.750
0.824 0.176 0.972
```



(8)
LiSmPd14 | PBE-GGA | relaxed

Output
The calculated volume is 16.0 Å³ per atom. For the energy of formation from the pure elements, the calculation gives -0.227 eV per atom. The value obtained for the electronic total energy is -82.96 eV/cell. Its density of states at the Fermi level is 27.57 states/eV/cell. Its total moment is 0.001 μB per cell. As for the space-group type: P4/mmm (123).

The structure in POSCAR format:
```
LiSmPd14
1.0
5.670 0.000 0.000
0.000 5.670 0.000
0.000 0.000 7.962
Li Sm Pd
1 1 14
direct
0.000 0.000 0.000
0.500 0.500 0.000
0.000 0.000 0.500
0.000 0.500 0.000
0.000 0.500 0.500
0.246 0.246 0.255
0.246 0.246 0.745
0.246 0.754 0.255
0.246 0.754 0.745
0.500 0.000 0.000
0.500 0.000 0.500
0.500 0.500 0.500
0.754 0.246 0.255
0.754 0.246 0.745
0.754 0.754 0.255
0.754 0.754 0.745
```



(9)
Li2SmSnPd4 | PBE-GGA | relaxed

Output
The calculated volume is 17.5 Å³ per atom. For the energy of formation from the pure elements, the calculation gives -0.624 eV per atom. The value obtained for the electronic total energy is -38.32 eV/cell. Its density of states at the Fermi level is 4.13 states/eV/cell. Its total moment is 0.000 μB per cell. As for the space-group type: R-3m (166).

The structure in POSCAR format:
```
Li2SmSnPd4
1.0
2.297 1.326 7.643
-2.297 1.326 7.643
0.000 -2.652 7.643
Li Sm Sn Pd
2 1 1 4
direct
0.245 0.245 0.245
0.755 0.755 0.755
0.000 0.000 0.000
0.500 0.500 0.500
0.128 0.128 0.128
0.384 0.384 0.384
0.616 0.616 0.616
0.872 0.872 0.872
```



(10)
Li2Sm2SnPd5 | PBE-GGA | relaxed

Output
The calculated volume is 17.7 Å³ per atom. For the energy of formation from the pure elements, the calculation gives -0.678 eV per atom. The value obtained for the electronic total energy is -100.03 eV/cell. Its density of states at the Fermi level is 8.98 states/eV/cell. Its total moment is 0.000 μB per cell. As for the space-group type: P4/mbm (127).

The structure in POSCAR format:
```
Li2Sm2SnPd5
1.0
9.677 0.000 0.000
0.000 9.677 0.000
0.000 0.000 3.787
Li Sm Sn Pd
4 4 2 10
direct
0.120 0.380 0.000
0.380 0.880 0.000
0.620 0.120 0.000
0.880 0.620 0.000
0.177 0.677 0.000
0.323 0.177 0.000
0.677 0.823 0.000
0.823 0.323 0.000
0.000 0.000 0.000
0.500 0.500 0.000
0.000 0.500 0.500
0.068 0.210 0.500
0.210 0.932 0.500
0.290 0.432 0.500
0.432 0.710 0.500
0.500 0.000 0.500
0.568 0.290 0.500
0.710 0.568 0.500
0.790 0.068 0.500
0.932 0.790 0.500
```



(11)
LiSmSn2Pd | PBE-GGA | relaxed

Output
The calculated volume is 22.4 Å³ per atom. For the energy of formation from the pure elements, the calculation gives -0.647 eV per atom. The value obtained for the electronic total energy is -23.07 eV/cell. Its density of states at the Fermi level is 2.64 states/eV/cell. Its total moment is 0.000 μB per cell. As for the space-group type: I-4m2 (119).

The structure in POSCAR format:
```
LiSmSn2Pd
1.0
-2.176 2.176 5.901
2.176 -2.176 5.901
2.176 2.176 -5.901
Li Sm Sn Pd
1 1 2 1
direct
0.000 0.000 0.000
0.750 0.250 0.500
0.131 0.631 0.500
0.369 0.869 0.500
0.500 0.500 0.000
```